# 1
# CePuPd6 | Alexandria via LeMat-Bulk | PBE | relaxed
data_CePuPd6
_chemical_formula_sum 'Ce1 Pu1 Pd6'
_cell_length_a 4.153
_cell_length_b 4.153
_cell_length_c 8.314
_cell_angle_alpha 90.00
_cell_angle_beta 90.00
_cell_angle_gamma 90.00
_space_group_name_H-M_alt 'P 4/m m m'
_space_group_IT_number 123
_space_group_name_Hall '-P 4 2'
loop_
_atom_site_label
_atom_site_type_symbol
_atom_site_fract_x
_atom_site_fract_y
_atom_site_fract_z
_atom_site_occupancy
Ce1 Ce 0.000 0.000 0.000 1
Pu1 Pu 0.000 0.000 0.500 1
Pd1 Pd 0.000 0.500 0.247 1
Pd2 Pd 0.500 0.500 0.000 1
Pd3 Pd 0.500 0.500 0.500 1
# - crystal system = tetragonal
# - final energy (eV/atom) = -7.1303
# - theoretical density (Mg/m³) = 11.85
# - energy of formation (eV/atom) = -0.70
# - Fermi-level density of states (states/eV per cell) = 17.4



# 2
# CePu2Pd6 | Alexandria via LeMat-Bulk | PBE | relaxed
data_CePu2Pd6
_chemical_formula_sum 'Ce2 Pu4 Pd12'
_cell_length_a 10.561
_cell_length_b 6.054
_cell_length_c 5.717
_cell_angle_alpha 90.00
_cell_angle_beta 90.15
_cell_angle_gamma 90.00
_space_group_name_H-M_alt 'C 1 2/m 1'
_space_group_IT_number 12
_space_group_name_Hall '-C 2y'
loop_
_atom_site_label
_atom_site_type_symbol
_atom_site_fract_x
_atom_site_fract_y
_atom_site_fract_z
_atom_site_occupancy
Ce1 Ce 0.000 0.000 0.000 1
Pu1 Pu 0.167 0.500 0.184 1
Pd1 Pd 0.092 0.274 0.673 1
Pd2 Pd 0.184 0.000 0.326 1
# - crystal system = monoclinic
# - final energy (eV/atom) = -7.7866
# - theoretical density (Mg/m³) = 11.51
# - energy of formation (eV/atom) = -0.48
# - Fermi-level density of states (states/eV per cell) = 58.8



Which formula does entry 1 have? CePuPd6



energy of formation of number 2 (CePu2Pd6)? -0.48 eV/atom



Which of these has the lowest theoretical density? CePu2Pd6



Look up the theoretical density of the first one. 11.85 Mg/m³